{
  "formula": "Mg2MoAuF",
  "functional": "PBE with a Hubbard U",
  "state": "optimized geometry",
  "lattice_angstrom": [[5.601, 0.000, 0.000], [0.000, 5.601, 0.000], [0.000, 0.000, 4.104]],
  "species": ["Mg", "Mg", "Mo", "Au", "F"],
  "fractional_positions": [[0.000, 0.500, 0.000], [0.500, 0.000, 0.000], [0.000, 0.000, 0.000], [0.500, 0.500, 0.500], [0.000, 0.000, 0.500]],
  "rho_kg_m3": 4649,
  "final_energy_ev_per_cell": -15.3,
  "volume_a3_per_cell": 129
}